VASP calculation (SCAN) on a crystal of YTlAs2 relaxed with PBEsol.

Cell and atoms, written as POSCAR:
```
YTlAs2
1.0
3.304 -3.464 0.000
3.304 3.464 0.000
0.000 0.000 3.800
Y Tl As
1 1 2
Cartesian
0.000 0.000 0.000
3.304 0.000 0.000
1.652 1.732 1.900
1.652 -1.732 1.900
```

Calculated volume: 21.75 A^3/atom
Energy of formation from the pure elements: -0.551 eV/atom
Total magnetic moment: 0.00 μB/f.u.
Uncorrected energy: -35.6968 eV/atom